# 1
# PBE ZnFeTe2, optimized geometry
data_ZnFeTe2
_chemical_formula_sum 'Zn2 Fe2 Te4'
_cell_length_a 3.7874
_cell_length_b 6.8416
_cell_length_c 7.8971
_cell_angle_alpha 90.00
_cell_angle_beta 90.00
_cell_angle_gamma 90.00
_symmetry_space_group_name_H-M 'I m m m'
_symmetry_Int_Tables_number 71
_symmetry_space_group_name_Hall '-I 2 2'
loop_
_atom_site_label
_atom_site_type_symbol
_atom_site_fract_x
_atom_site_fract_y
_atom_site_fract_z
Zn1 Zn 0.0000 0.0000 0.0000
Fe1 Fe 0.0000 0.0000 0.5000
Te1 Te 0.0000 0.5000 0.2271
# E_form (uncorrected): 335 meV per atom
# V: 25.6 Å³ per atom
# total DFT energy (no corrections): -3.670 eV/atom

# 2
# PBE ErNi3Ge3, optimized geometry
data_ErNi3Ge3
_chemical_formula_sum 'Er2 Ni6 Ge6'
_cell_length_a 8.1531
_cell_length_b 8.1531
_cell_length_c 4.0617
_cell_angle_alpha 90.00
_cell_angle_beta 90.00
_cell_angle_gamma 120.00
_symmetry_space_group_name_H-M 'P 63/m'
_symmetry_Int_Tables_number 176
_symmetry_space_group_name_Hall '-P 6c'
loop_
_atom_site_label
_atom_site_type_symbol
_atom_site_fract_x
_atom_site_fract_y
_atom_site_fract_z
Er1 Er 0.3333 0.6667 0.2500
Ni1 Ni 0.0692 0.2160 0.2500
Ge1 Ge 0.1040 0.3843 0.7500
# formation energy: -36.6 kJ per mole of atoms
# V: 16.7 Å³ per atom
# total DFT energy (no corrections): -5.487 eV/atom
# energy above the most stable polymorph in this dataset: 0.00 kcal/mol of atoms

# 3
# PBE Ba2TlRh2, optimized geometry
data_Ba2TlRh2
_chemical_formula_sum 'Ba4 Tl2 Rh4'
_cell_length_a 3.7504
_cell_length_b 3.7504
_cell_length_c 21.1748
_cell_angle_alpha 90.00
_cell_angle_beta 90.00
_cell_angle_gamma 90.00
_symmetry_space_group_name_H-M 'I 4/m m m'
_symmetry_Int_Tables_number 139
_symmetry_space_group_name_Hall '-I 4 2'
loop_
_atom_site_label
_atom_site_type_symbol
_atom_site_fract_x
_atom_site_fract_y
_atom_site_fract_z
Ba1 Ba 0.0000 0.0000 0.1246
Tl1 Tl 0.0000 0.0000 0.5000
Rh1 Rh 0.0000 0.5000 0.2500
# formation energy: 1.0 kJ per mole of atoms
# V: 29.8 Å³ per atom
# total DFT energy (no corrections): -4.173 eV/atom

# 4
# PBE Tb2GaCoC, optimized geometry
data_Tb2GaCoC
_chemical_formula_sum 'Tb4 Ga2 Co2 C2'
_cell_length_a 6.2147
_cell_length_b 3.9289
_cell_length_c 8.3475
_cell_angle_alpha 90.00
_cell_angle_beta 109.78
_cell_angle_gamma 90.00
_symmetry_space_group_name_H-M 'P 1 21/m 1'
_symmetry_Int_Tables_number 11
_symmetry_space_group_name_Hall '-P 2yb'
loop_
_atom_site_label
_atom_site_type_symbol
_atom_site_fract_x
_atom_site_fract_y
_atom_site_fract_z
Tb1 Tb 0.2201 0.2500 0.4678
Tb2 Tb 0.2245 0.2500 0.8809
Ga1 Ga 0.2956 0.7500 0.1986
Co1 Co 0.4941 0.7500 0.7579
C1 C 0.1921 0.7500 0.6703
# formation energy: -35.1 kJ per mole of atoms
# V: 19.2 Å³ per atom
# total DFT energy (no corrections): -6.087 eV/atom

# 5
# PBE BaTe2S4, optimized geometry
data_BaTe2S4
_chemical_formula_sum 'Ba2 Te4 S8'
_cell_length_a 8.0161
_cell_length_b 8.0208
_cell_length_c 8.6638
_cell_angle_alpha 105.44
_cell_angle_beta 105.42
_cell_angle_gamma 115.00
_symmetry_space_group_name_H-M 'P 1'
_symmetry_Int_Tables_number 1
_symmetry_space_group_name_Hall 'P 1'
loop_
_atom_site_label
_atom_site_type_symbol
_atom_site_fract_x
_atom_site_fract_y
_atom_site_fract_z
Ba1 Ba 0.0000 0.0000 0.0000
Ba2 Ba 0.2497 0.7503 0.5000
Te1 Te 0.0130 0.3725 0.7372
Te2 Te 0.5256 0.3854 0.7627
Te3 Te 0.6214 0.7617 0.2367
Te4 Te 0.6347 0.2748 0.2632
S1 S 0.2255 0.1105 0.7432
S2 S 0.3593 0.9749 0.2434
S3 S 0.3647 0.4813 0.2552
S4 S 0.4806 0.6656 0.8326
S5 S 0.7320 0.1161 0.7553
S6 S 0.8319 0.6468 0.1670
S7 S 0.8988 0.5839 0.6686
S8 S 0.9153 0.2303 0.3342
# E_form (uncorrected): -534 meV per atom
# V: 31.3 Å³ per atom
# total DFT energy (no corrections): -4.064 eV/atom
# energy above the most stable polymorph in this dataset: 0.00 kcal/mol of atoms

# 6
# PBE Zn2PbBr, optimized geometry
data_Zn2PbBr
_chemical_formula_sum 'Zn4 Pb2 Br2'
_cell_length_a 3.4568
_cell_length_b 5.7279
_cell_length_c 9.8141
_cell_angle_alpha 90.00
_cell_angle_beta 90.00
_cell_angle_gamma 90.00
_symmetry_space_group_name_H-M 'I m m 2'
_symmetry_Int_Tables_number 44
_symmetry_space_group_name_Hall 'I 2 -2'
loop_
_atom_site_label
_atom_site_type_symbol
_atom_site_fract_x
_atom_site_fract_y
_atom_site_fract_z
Zn1 Zn 0.0000 0.0000 0.0000
Zn2 Zn 0.0000 0.5000 0.3007
Pb1 Pb 0.0000 0.5000 0.7631
Br1 Br 0.0000 0.0000 0.5771
# E_form (uncorrected): 2 meV per atom
# V: 24.3 Å³ per atom
# total DFT energy (no corrections): -1.980 eV/atom
# energy above the most stable polymorph in this dataset: 1.88 kcal/mol of atoms